A plane-wave DFT calculation with GGA+U was carried out for an optimized crystal structure of PmTlCoF6.

Values from the calculation:
SG: Imma
V: 300 Å³ per cell
VASP energy: -98.9 eV for the cell shown

a = 7.804 Å, b = 7.387 Å, c = 7.479 Å
α = 119.60°, β = 121.45°, γ = 90.00°
Each line ends with the local moment (μB).
Positions (direct):
F: 0.557 0.387 0.733  0.03
F: 0.597 0.847 0.193  0.04
F: 0.177 0.846 0.733  0.03
F: 0.403 0.153 0.807  0.04
F: 0.443 0.613 0.267  0.03
F: 0.443 0.154 0.267  0.03
F: 0.557 0.846 0.733  0.03
F: 0.867 0.117 0.733  0.00
F: 0.177 0.387 0.733  0.03
F: 0.823 0.154 0.267  0.03
F: 0.133 0.883 0.267  0.00
F: 0.823 0.613 0.267  0.03
Tl: 0.164 0.414 0.328  0.00
Tl: 0.836 0.586 0.672  0.00
Co: 0.500 0.500 0.000  2.77
Co: 0.500 0.000 0.000  2.77
Pm: 0.000 0.000 0.500  0.00
Pm: 0.500 0.000 0.500  0.00